Entry w
K2HF: single point on PBEsol structure, meta-GGA SCAN.

Cell: 5.9909 5.9909 7.2905 Å, 114.26 114.26 90.00°
Fractional positions:
K  0.1250  0.1094  0.7500
K  0.6250  0.6406  0.7500
K  0.8906  0.3750  0.2500
K  0.3594  0.8750  0.2500
H  0.7500  0.2500  0.5000
H  0.5000  0.5000  0.0000
F  0.2500  0.7500  0.5000
F  0.0000  0.0000  0.0000

Computed properties:
N(E_F) ... 0.000 states/eV per cell

Entry x
K2HF: single point on PBEsol structure, meta-GGA SCAN.

Cell: 4.5838 4.5838 4.5838 Å, 60.00 60.00 60.00°
Fractional positions:
F  0.5000  0.5000  0.5000
K  0.7500  0.7500  0.7500
K  0.2500  0.2500  0.2500
H  0.0000  0.0000  0.0000

Computed properties:
N(E_F) ... 0.000 states/eV per cell

Stability comparison, relative energies in kJ/mol of atoms: entry w 3.9; entry x 0.0

Entry w
MnHNF2: single point on PBEsol structure, meta-GGA SCAN.

Cell: 3.4492 4.2079 4.2079 Å, 90.00 90.00 90.00°
Last column: magnetic moment on the atom in μB.
Fractional positions:
F  0.0000  0.0000  0.5000  -0.04
F  0.0000  0.5000  0.0000  -0.04
H  0.5000  0.5000  0.5000  0.36
Mn  0.5000  0.0000  0.0000  3.53
N  0.0000  0.0000  0.0000  -0.75

Computed properties:
N(E_F) ... 1.360 states/eV per cell

Entry x
MnHNF2: single point on PBEsol structure, meta-GGA SCAN.

Cell: 2.6699 4.0357 4.0357 Å, 90.00 90.00 90.00°
Last column: magnetic moment on the atom in μB.
Fractional positions:
F  0.0000  0.0000  0.5000  0.19
F  0.0000  0.5000  0.0000  0.19
N  0.5000  0.0000  0.0000  1.39
Mn  0.5000  0.5000  0.5000  4.53
H  0.0000  0.0000  0.0000  -0.03

Computed properties:
N(E_F) ... 0.598 states/eV per cell

Stability comparison, relative energies in kJ/mol of atoms: entry w 63.5; entry x 0.0

Entry w
NaHF2: single point on PBEsol structure, meta-GGA SCAN.

Cell: 3.1660 3.7810 3.7810 Å, 97.43 96.85 96.85°
Fractional positions:
Na  0.5000  0.2632  0.7368
F  0.9014  0.1282  0.2888
F  0.0986  0.7112  0.8718
H  0.0000  0.9015  0.0985

Computed properties:
N(E_F) ... 0.000 states/eV per cell

Entry x
NaHF2: single point on PBEsol structure, meta-GGA SCAN.

Cell: 3.4451 3.4451 5.0120 Å, 69.90 69.90 60.00°
Fractional positions:
H  0.5000  0.5000  0.5000
F  0.4171  0.4171  0.7487
F  0.5829  0.5829  0.2513
Na  0.0000  0.0000  0.0000

Computed properties:
N(E_F) ... 0.000 states/eV per cell

Stability comparison, relative energies in kJ/mol of atoms: entry w 5.9; entry x 0.0

Entry w
SbH3F: single point on PBEsol structure, meta-GGA SCAN.

Cell: 3.5382 3.5382 3.5382 Å, 90.00 90.00 90.00°
Fractional positions:
H  0.5000  0.0000  0.0000
H  0.0000  0.0000  0.5000
H  0.0000  0.5000  0.0000
Sb  0.5000  0.5000  0.5000
F  0.0000  0.0000  0.0000

Computed properties:
N(E_F) ... 1.424 states/eV per cell

Entry x
SbH3F: single point on PBEsol structure, meta-GGA SCAN.

Cell: 3.6937 3.6937 3.6937 Å, 90.00 90.00 90.00°
Fractional positions:
F  0.5000  0.5000  0.5000
H  0.5000  0.0000  0.0000
H  0.0000  0.0000  0.5000
H  0.0000  0.5000  0.0000
Sb  0.0000  0.0000  0.0000

Computed properties:
N(E_F) ... 1.130 states/eV per cell

Stability comparison, relative energies in kJ/mol of atoms: entry w 83.9; entry x 0.0

Entry w
KHfOF2: single point on PBEsol structure, meta-GGA SCAN.

Cell: 4.2234 4.2234 4.6732 Å, 90.00 90.00 90.00°
Last column: magnetic moment on the atom in μB.
Fractional positions:
F  0.5000  0.0000  0.0000  0.01
F  0.0000  0.5000  0.0000  0.01
O  0.0000  0.0000  0.5000  -0.11
K  0.0000  0.0000  0.0000  0.00
Hf  0.5000  0.5000  0.5000  0.81

Computed properties:
N(E_F) ... 3.340 states/eV per cell

Entry x
KHfOF2: single point on PBEsol structure, meta-GGA SCAN.

Cell: 4.0575 4.2898 4.2898 Å, 90.00 90.00 90.00°
Fractional positions:
K  0.5000  0.5000  0.5000
Hf  0.0000  0.0000  0.0000
F  0.0000  0.5000  0.0000
F  0.0000  0.0000  0.5000
O  0.5000  0.0000  0.0000

Computed properties:
N(E_F) ... 2.289 states/eV per cell

Stability comparison, relative energies in kJ/mol of atoms: entry w 219.7; entry x 0.0

Entry w
HfMgF2: single point on PBEsol structure, meta-GGA SCAN.

Cell: 3.1428 3.1428 6.8103 Å, 76.66 76.66 60.00°
Last column: magnetic moment on the atom in μB.
Fractional positions:
F  0.8782  0.8782  0.3653  0.02
F  0.1218  0.1218  0.6347  0.02
Mg  0.5000  0.5000  0.5000  0.01
Hf  0.0000  0.0000  0.0000  0.38

Computed properties:
N(E_F) ... 2.829 states/eV per cell

Entry x
HfMgF2: single point on PBEsol structure, meta-GGA SCAN.

Cell: 2.9405 2.9405 8.1293 Å, 79.58 79.58 60.00°
Fractional positions:
Mg  0.0000  0.0000  0.0000
F  0.8988  0.8988  0.3037
F  0.1012  0.1012  0.6963
Hf  0.5000  0.5000  0.5000

Computed properties:
N(E_F) ... 1.451 states/eV per cell

Stability comparison, relative energies in kJ/mol of atoms: entry w 0.0; entry x 21.4

Entry w
HfMgOF2: single point on PBEsol structure, meta-GGA SCAN.

Cell: 3.6115 3.6115 4.6049 Å, 90.00 90.00 90.00°
Last column: magnetic moment on the atom in μB.
Fractional positions:
O  0.0000  0.0000  0.5000  0.00
F  0.5000  0.0000  0.0000  0.03
F  0.0000  0.5000  0.0000  0.03
Hf  0.5000  0.5000  0.5000  0.86
Mg  0.0000  0.0000  0.0000  0.00

Computed properties:
N(E_F) ... 1.141 states/eV per cell

Entry x
HfMgOF2: single point on PBEsol structure, meta-GGA SCAN.

Cell: 4.0071 4.2976 4.2976 Å, 90.00 90.00 90.00°
Fractional positions:
Hf  0.0000  0.0000  0.0000
F  0.0000  0.0000  0.5000
F  0.0000  0.5000  0.0000
Mg  0.5000  0.5000  0.5000
O  0.5000  0.0000  0.0000

Computed properties:
N(E_F) ... 1.858 states/eV per cell

Stability comparison, relative energies in kJ/mol of atoms: entry w 23.1; entry x 0.0

Entry w
HfPbN2F: single point on PBEsol structure, meta-GGA SCAN.

Cell: 4.0946 4.2284 4.2284 Å, 90.00 90.00 90.00°
Last column: magnetic moment on the atom in μB.
Fractional positions:
Hf  0.0000  0.0000  0.0000  -0.07
N  0.0000  0.0000  0.5000  0.41
N  0.0000  0.5000  0.0000  0.41
Pb  0.5000  0.5000  0.5000  -0.02
F  0.5000  0.0000  0.0000  -0.01

Computed properties:
N(E_F) ... 0.566 states/eV per cell

Entry x
HfPbN2F: single point on PBEsol structure, meta-GGA SCAN.

Cell: 4.1109 4.2686 4.2686 Å, 90.00 90.00 90.00°
Last column: magnetic moment on the atom in μB.
Fractional positions:
F  0.5000  0.0000  0.0000  0.02
Hf  0.5000  0.5000  0.5000  0.51
N  0.0000  0.5000  0.0000  -0.04
N  0.0000  0.0000  0.5000  -0.04
Pb  0.0000  0.0000  0.0000  0.00

Computed properties:
N(E_F) ... 2.032 states/eV per cell

Stability comparison, relative energies in kJ/mol of atoms: entry w 0.0; entry x 173.3

Entry w
HfPtF2: single point on PBEsol structure, meta-GGA SCAN.

Cell: 4.0211 4.0211 7.7209 Å, 105.09 105.09 90.00°
Fractional positions:
F  0.5066  0.8750  0.2500
F  0.1250  0.2566  0.7500
F  0.7434  0.3750  0.2500
F  0.6250  0.4934  0.7500
Pt  0.2500  0.7500  0.5000
Pt  0.0000  0.0000  0.0000
Hf  0.5000  0.5000  0.0000
Hf  0.7500  0.2500  0.5000

Computed properties:
N(E_F) ... 5.397 states/eV per cell

Entry x
HfPtF2: single point on PBEsol structure, meta-GGA SCAN.

Cell: 2.8856 2.8856 10.0911 Å, 81.78 81.78 60.00°
Last column: magnetic moment on the atom in μB.
Fractional positions:
Pt  0.5000  0.5000  0.5000  0.87
F  0.0636  0.0636  0.8092  0.00
F  0.9364  0.9364  0.1908  0.00
Hf  0.0000  0.0000  0.0000  0.00

Computed properties:
N(E_F) ... 2.044 states/eV per cell

Stability comparison, relative energies in kJ/mol of atoms: entry w 0.0; entry x 52.4

Entry w
HfZrF3: single point on PBEsol structure, meta-GGA SCAN.

Cell: 4.3301 4.3301 4.3301 Å, 90.00 90.00 90.00°
Last column: magnetic moment on the atom in μB.
Fractional positions:
F  0.0000  0.5000  0.0000  0.09
F  0.0000  0.0000  0.5000  0.09
F  0.5000  0.0000  0.0000  0.09
Hf  0.5000  0.5000  0.5000  1.71
Zr  0.0000  0.0000  0.0000  0.91

Computed properties:
N(E_F) ... 3.697 states/eV per cell

Entry x
HfZrF3: single point on PBEsol structure, meta-GGA SCAN.

Cell: 4.2756 4.2756 4.2756 Å, 90.00 90.00 90.00°
Last column: magnetic moment on the atom in μB.
Fractional positions:
Hf  0.0000  0.0000  0.0000  0.88
F  0.0000  0.5000  0.0000  0.10
F  0.0000  0.0000  0.5000  0.10
F  0.5000  0.0000  0.0000  0.10
Zr  0.5000  0.5000  0.5000  1.91

Computed properties:
N(E_F) ... 2.796 states/eV per cell

Stability comparison, relative energies in kJ/mol of atoms: entry w 9.7; entry x 0.0

Entry w
MnHgOF2: single point on PBEsol structure, meta-GGA SCAN.

Cell: 4.1708 4.4341 4.4341 Å, 90.00 90.00 90.00°
Last column: magnetic moment on the atom in μB.
Fractional positions:
F  0.0000  0.5000  0.0000  0.02
F  0.0000  0.0000  0.5000  0.02
Hg  0.0000  0.0000  0.0000  0.00
O  0.5000  0.0000  0.0000  0.00
Mn  0.5000  0.5000  0.5000  4.79

Computed properties:
N(E_F) ... 1.047 states/eV per cell

Entry x
MnHgOF2: single point on PBEsol structure, meta-GGA SCAN.

Cell: 3.8046 4.0553 4.0553 Å, 90.00 90.00 90.00°
Last column: magnetic moment on the atom in μB.
Fractional positions:
O  0.5000  0.0000  0.0000  -0.03
Mn  0.0000  0.0000  0.0000  3.95
F  0.0000  0.5000  0.0000  0.04
F  0.0000  0.0000  0.5000  0.04
Hg  0.5000  0.5000  0.5000  -0.04

Computed properties:
N(E_F) ... 2.044 states/eV per cell

Stability comparison, relative energies in kJ/mol of atoms: entry w 96.3; entry x 0.0

Entry w
LaI2F: single point on PBEsol structure, meta-GGA SCAN.

Cell: 5.3085 5.3085 5.3085 Å, 60.00 60.00 60.00°
Fractional positions:
F  0.0000  0.0000  0.0000
La  0.5000  0.5000  0.5000
I  0.2500  0.2500  0.2500
I  0.7500  0.7500  0.7500

Computed properties:
N(E_F) ... 0.000 states/eV per cell

Entry x
LaI2F: single point on PBEsol structure, meta-GGA SCAN.

Cell: 5.1492 5.1492 10.5566 Å, 104.12 104.12 90.00°
Fractional positions:
I  0.6250  0.6206  0.7500
I  0.3794  0.8750  0.2500
I  0.1250  0.1294  0.7500
I  0.8706  0.3750  0.2500
F  0.5000  0.5000  0.0000
F  0.7500  0.2500  0.5000
La  0.2500  0.7500  0.5000
La  0.0000  0.0000  0.0000

Stability comparison, relative energies in kJ/mol of atoms: entry w 0.0; entry x 40.5

Entry w
MgIOF2: single point on PBEsol structure, meta-GGA SCAN.

Cell: 3.6830 3.6830 5.1293 Å, 90.00 90.00 90.00°
Fractional positions:
O  0.0000  0.0000  0.5000
I  0.5000  0.5000  0.5000
F  0.5000  0.0000  0.0000
F  0.0000  0.5000  0.0000
Mg  0.0000  0.0000  0.0000

Computed properties:
N(E_F) ... 1.367 states/eV per cell

Entry x
MgIOF2: single point on PBEsol structure, meta-GGA SCAN.

Cell: 3.9854 4.9085 4.9085 Å, 90.00 90.00 90.00°
Last column: magnetic moment on the atom in μB.
Fractional positions:
O  0.5000  0.0000  0.0000  -0.03
F  0.0000  0.0000  0.5000  0.02
F  0.0000  0.5000  0.0000  0.02
I  0.0000  0.0000  0.0000  -0.04
Mg  0.5000  0.5000  0.5000  0.14

Computed properties:
N(E_F) ... 2.735 states/eV per cell

Stability comparison, relative energies in kJ/mol of atoms: entry w 0.0; entry x 119.7

Entry w
NaIN2F: single point on PBEsol structure, meta-GGA SCAN.

Cell: 3.9706 4.7049 4.7049 Å, 90.00 90.00 90.00°
Last column: magnetic moment on the atom in μB.
Fractional positions:
N  0.0000  0.0000  0.5000  1.75
N  0.0000  0.5000  0.0000  1.75
F  0.5000  0.0000  0.0000  0.08
I  0.5000  0.5000  0.5000  -0.09
Na  0.0000  0.0000  0.0000  0.02

Computed properties:
N(E_F) ... 2.678 states/eV per cell

Entry x
NaIN2F: single point on PBEsol structure, meta-GGA SCAN.

Cell: 4.5816 4.5816 5.9081 Å, 90.00 90.00 90.00°
Last column: magnetic moment on the atom in μB.
Fractional positions:
I  0.0000  0.0000  0.5000  0.62
N  0.0000  0.5000  0.0000  1.86
N  0.5000  0.0000  0.0000  1.86
Na  0.0000  0.0000  0.0000  0.02
F  0.5000  0.5000  0.5000  0.45

Computed properties:
N(E_F) ... 1.641 states/eV per cell

Stability comparison, relative energies in kJ/mol of atoms: entry w 0.0; entry x 34.3